(1)
# PBE-GGA FeTe, optimized geometry
data_FeTe
_chemical_formula_sum 'Fe2 Te2'
_symmetry_space_group_name_H-M 'P 4/n m m'
_symmetry_Int_Tables_number 129
_cell_length_a 3.634
_cell_length_b 3.634
_cell_length_c 6.820
_cell_angle_alpha 90.00
_cell_angle_beta 90.00
_cell_angle_gamma 90.00
loop_
_symmetry_equiv_pos_as_xyz
'x,y,z'
'-x,-y,-z'
'-y+1/2,x,z'
'y+1/2,-x,-z'
'-x+1/2,-y+1/2,z'
'x+1/2,y+1/2,-z'
'y,-x+1/2,z'
'-y,x+1/2,-z'
'x+1/2,-y,-z'
'-x+1/2,y,z'
'-y,-x,-z'
'y,x,z'
'-x,y+1/2,-z'
'x,-y+1/2,z'
'y+1/2,x+1/2,-z'
'-y+1/2,-x+1/2,z'
loop_
_atom_site_label
_atom_site_fract_x
_atom_site_fract_y
_atom_site_fract_z
Fe1 0.250 0.750 0.000
Te1 0.250 0.250 0.274
# **Total moment**: 2.3 μB per formula unit
# **Calculated density**: 6.8 g/cm³
# **Formation energy without anion corrections**: -0.0507 eV/atom
# **E_tot**: -0.2151 Ha/atom



(2)
# PBE-GGA TlSi4P, optimized geometry
data_TlSi4P
_chemical_formula_sum 'Tl4 Si16 P4'
_symmetry_space_group_name_H-M 'F -4 3 m'
_symmetry_Int_Tables_number 216
_symmetry_space_group_name_Hall 'F -4 2 3'
_cell_length_a 7.537
_cell_length_b 7.537
_cell_length_c 7.537
_cell_angle_alpha 90.00
_cell_angle_beta 90.00
_cell_angle_gamma 90.00
loop_
_atom_site_label
_atom_site_fract_x
_atom_site_fract_y
_atom_site_fract_z
Tl1 0.000 0.000 0.000
Si1 0.124 0.124 0.376
P1 0.250 0.250 0.750
# **Total moment**: 0.0 μB per formula unit
# **Calculated density**: 5.4 g/cm³
# **Formation energy without anion corrections**: 0.7043 eV/atom
# **E_tot**: -0.1546 Ha/atom



(3)
# PBE-GGA RbNaB2, optimized geometry
data_RbNaB2
_chemical_formula_sum 'Rb4 Na4 B8'
_symmetry_space_group_name_H-M 'F m -3 m'
_symmetry_Int_Tables_number 225
_symmetry_space_group_name_Hall '-F 4 2 3'
_cell_length_a 7.103
_cell_length_b 7.103
_cell_length_c 7.103
_cell_angle_alpha 90.00
_cell_angle_beta 90.00
_cell_angle_gamma 90.00
loop_
_atom_site_label
_atom_site_fract_x
_atom_site_fract_y
_atom_site_fract_z
Rb1 0.000 0.000 0.000
Na1 0.000 0.000 0.500
B1 0.250 0.250 0.250
# **Total moment**: 0.0 μB per formula unit
# **Calculated density**: 2.4 g/cm³
# **E_tot**: -0.0727 Ha/atom
# **DFT formation energy**: 7.7 eV/f.u.



(4)
# PBE-GGA Rb4Na3Cd, optimized geometry
data_Rb4Na3Cd
_chemical_formula_sum 'Rb4 Na3 Cd1'
_symmetry_space_group_name_H-M 'P m m 2'
_symmetry_Int_Tables_number 25
_symmetry_space_group_name_Hall 'P 2 -2'
_cell_length_a 5.472
_cell_length_b 5.711
_cell_length_c 15.051
_cell_angle_alpha 90.00
_cell_angle_beta 90.00
_cell_angle_gamma 90.00
loop_
_atom_site_label
_atom_site_fract_x
_atom_site_fract_y
_atom_site_fract_z
Rb1 0.000 0.000 0.000
Rb2 0.000 0.500 0.275
Rb3 0.500 0.000 0.465
Rb4 0.500 0.500 0.790
Na1 0.000 0.000 0.700
Na2 0.000 0.500 0.564
Na3 0.500 0.500 0.081
Cd1 0.500 0.000 0.197
# **Total moment**: 0.0 μB per formula unit
# **Calculated density**: 1.8 g/cm³
# **E_tot**: -0.0393 Ha/atom
# **DFT formation energy**: 0.2 eV/f.u.



(5)
# PBE-GGA MnPtS2, optimized geometry
data_MnPtS2
_chemical_formula_sum 'Mn4 Pt4 S8'
_symmetry_space_group_name_H-M 'F m -3 m'
_symmetry_Int_Tables_number 225
_symmetry_space_group_name_Hall '-F 4 2 3'
_cell_length_a 6.197
_cell_length_b 6.197
_cell_length_c 6.197
_cell_angle_alpha 90.00
_cell_angle_beta 90.00
_cell_angle_gamma 90.00
loop_
_atom_site_label
_atom_site_fract_x
_atom_site_fract_y
_atom_site_fract_z
Mn1 0.000 0.000 0.000
Pt1 0.000 0.000 0.500
S1 0.250 0.250 0.250
# **Total moment**: 3.1 μB per formula unit
# **Calculated density**: 8.8 g/cm³
# **Formation energy without anion corrections**: 0.1195 eV/atom
# **E_tot**: -0.2112 Ha/atom



(6)
# PBE-GGA Pr3BeGe2, optimized geometry
data_Pr3BeGe2
_chemical_formula_sum 'Pr12 Be4 Ge8'
_symmetry_space_group_name_H-M 'P n m a'
_symmetry_Int_Tables_number 62
_symmetry_space_group_name_Hall '-P 2ac 2n'
_cell_length_a 11.939
_cell_length_b 4.179
_cell_length_c 11.997
_cell_angle_alpha 90.00
_cell_angle_beta 90.00
_cell_angle_gamma 90.00
loop_
_atom_site_label
_atom_site_fract_x
_atom_site_fract_y
_atom_site_fract_z
Pr1 0.067 0.250 0.117
Pr2 0.116 0.750 0.559
Pr3 0.199 0.250 0.793
Be1 0.136 0.250 0.362
Ge1 0.042 0.750 0.315
Ge2 0.201 0.750 0.980
# **Total moment**: 0.7 μB per formula unit
# **Calculated density**: 6.4 g/cm³
# **E_tot**: -0.1894 Ha/atom
# **DFT formation energy**: -3.6 eV/f.u.



(7)
# PBE-GGA PrAg2Pd2, optimized geometry
data_PrAg2Pd2
_chemical_formula_sum 'Pr2 Ag4 Pd4'
_symmetry_space_group_name_H-M 'C 1 2/m 1'
_symmetry_Int_Tables_number 12
_symmetry_space_group_name_Hall '-C 2y'
_cell_length_a 9.674
_cell_length_b 4.580
_cell_length_c 5.390
_cell_angle_alpha 90.00
_cell_angle_beta 119.53
_cell_angle_gamma 90.00
loop_
_atom_site_label
_atom_site_fract_x
_atom_site_fract_y
_atom_site_fract_z
Pr1 0.000 0.000 0.000
Ag1 0.132 0.500 0.759
Pd1 0.232 0.500 0.340
# **Total moment**: 0.0 μB per formula unit
# **Calculated density**: 9.1 g/cm³
# **E_tot**: -0.1657 Ha/atom
# **DFT formation energy**: -1.7 eV/f.u.



(8)
# PBE-GGA BeCuNO2, optimized geometry
data_BeCuNO2
_chemical_formula_sum 'Be1 Cu1 N1 O2'
_symmetry_space_group_name_H-M 'P 4/m m m'
_symmetry_Int_Tables_number 123
_symmetry_space_group_name_Hall '-P 4 2'
_cell_length_a 3.801
_cell_length_b 3.801
_cell_length_c 3.572
_cell_angle_alpha 90.00
_cell_angle_beta 90.00
_cell_angle_gamma 90.00
loop_
_atom_site_label
_atom_site_fract_x
_atom_site_fract_y
_atom_site_fract_z
Be1 0.000 0.000 0.000
Cu1 0.500 0.500 0.500
N1 0.500 0.500 0.000
O1 0.000 0.500 0.500
# **Total moment**: 1.5 μB per formula unit
# **Calculated density**: 3.8 g/cm³
# **Formation energy without anion corrections**: 0.8385 eV/atom
# **E_tot**: -0.1608 Ha/atom



(9)
# PBE-GGA LiNdSeBr, optimized geometry
data_LiNdSeBr
_chemical_formula_sum 'Li6 Nd6 Se6 Br6'
_symmetry_space_group_name_H-M 'R -3 m'
_symmetry_Int_Tables_number 166
_symmetry_space_group_name_Hall '-R 3 2"'
_cell_length_a 4.1308
_cell_length_b 4.1308
_cell_length_c 43.8309
_cell_angle_alpha 90.00
_cell_angle_beta 90.00
_cell_angle_gamma 120.00
loop_
_atom_site_label
_atom_site_fract_x
_atom_site_fract_y
_atom_site_fract_z
Li1 0.0000 0.0000 0.1879
Nd1 0.0000 0.0000 0.4183
Se1 0.0000 0.0000 0.1273
Br1 0.0000 0.0000 0.2904
# **Total moment**: 0.0 μB per formula unit
# **Calculated density**: 4.8 g/cm³
# **Formation energy without anion corrections**: -1.5199 eV/atom
# **E_tot**: -0.1646 Ha/atom



(10)
# PBE-GGA SmNp4Sb5, optimized geometry
data_SmNp4Sb5
_chemical_formula_sum 'Sm2 Np8 Sb10'
_symmetry_space_group_name_H-M 'I m m m'
_symmetry_Int_Tables_number 71
_symmetry_space_group_name_Hall '-I 2 2'
_cell_length_a 4.369
_cell_length_b 6.235
_cell_length_c 22.262
_cell_angle_alpha 90.00
_cell_angle_beta 90.00
_cell_angle_gamma 90.00
loop_
_atom_site_label
_atom_site_fract_x
_atom_site_fract_y
_atom_site_fract_z
Sm1 0.000 0.000 0.000
Np1 0.000 0.000 0.201
Np2 0.000 0.000 0.401
Sb1 0.000 0.500 0.000
Sb2 0.000 0.500 0.199
Sb3 0.000 0.500 0.398
# **Total moment**: 0.0 μB per formula unit
# **Calculated density**: 9.3 g/cm³
# **Formation energy without anion corrections**: -0.3648 eV/atom
# **E_tot**: -0.2967 Ha/atom



(11)
# PBE-GGA Na2NpSiO6, optimized geometry
data_Na2NpSiO6
_chemical_formula_sum 'Na2 Np1 Si1 O6'
_symmetry_space_group_name_H-M 'P 4 m m'
_symmetry_Int_Tables_number 99
_symmetry_space_group_name_Hall 'P 4 -2'
_cell_length_a 5.328
_cell_length_b 5.328
_cell_length_c 4.349
_cell_angle_alpha 90.00
_cell_angle_beta 90.00
_cell_angle_gamma 90.00
loop_
_atom_site_label
_atom_site_fract_x
_atom_site_fract_y
_atom_site_fract_z
Na1 0.000 0.500 0.000
Np1 0.000 0.000 0.543
Si1 0.500 0.500 0.462
O1 0.000 0.000 0.050
O2 0.269 0.269 0.558
O3 0.500 0.500 0.090
# **Total moment**: 1.0 μB per formula unit
# **Calculated density**: 5.5 g/cm³
# **Formation energy without anion corrections**: -2.3637 eV/atom
# **E_tot**: -0.2734 Ha/atom



(12)
# PBE-GGA CuSb, optimized geometry
data_CuSb
_chemical_formula_sum 'Cu2 Sb2'
_symmetry_space_group_name_H-M 'P -1'
_symmetry_Int_Tables_number 2
_symmetry_space_group_name_Hall '-P 1'
_cell_length_a 3.217
_cell_length_b 3.271
_cell_length_c 8.071
_cell_angle_alpha 90.03
_cell_angle_beta 97.40
_cell_angle_gamma 90.00
loop_
_atom_site_label
_atom_site_fract_x
_atom_site_fract_y
_atom_site_fract_z
Cu1 0.227 0.250 0.428
Sb1 0.342 0.251 0.780
# **Total moment**: 0.0 μB per formula unit
# **Calculated density**: 7.3 g/cm³
# **Formation energy without anion corrections**: 0.0894 eV/atom
# **E_tot**: -0.1477 Ha/atom



> Which formula does entry 10 have?

SmNp4Sb5